Record 1
DFT (GGA-PBE) results for crystalline LiMgTlCd2 at its relaxed geometry.

a b c (Å): 5.320 5.338 5.320
angles (deg): 90.00 90.00 90.00
Sites, in units of the cell vectors:
Tl (0.500, 0.500, 0.500)
Li (0.000, 0.500, 0.000)
Cd (0.500, 0.000, 0.000)
Cd (0.000, 0.000, 0.500)
Mg (0.000, 0.000, 0.000)

Results
Offset from the most stable computed form: 290 meV/atom
Uncorrected energy: -1.267 eV/atom
Energy relative to the elements: 0.274 eV per atom
Calculated volume: 151.1 Å³/cell


Record 2
DFT (GGA-PBE) results for crystalline Li2MgTlCd at its relaxed geometry.

a b c (Å): 4.772 5.766 8.552
angles (deg): 90.00 90.00 114.44
Sites, in units of the cell vectors:
Li (0.189, 0.379, 0.444)
Li (0.189, 0.379, 0.056)
Li (0.811, 0.621, 0.944)
Li (0.811, 0.621, 0.556)
Mg (0.500, 0.000, 0.000)
Mg (0.500, 0.000, 0.500)
Cd (0.030, 0.060, 0.750)
Cd (0.970, 0.940, 0.250)
Tl (0.690, 0.380, 0.250)
Tl (0.310, 0.620, 0.750)

Results
Uncorrected energy: -1.874 eV/atom
Energy relative to the elements: -0.133 eV per atom
Calculated volume: 214.2 Å³/cell


Record 3
DFT (GGA-PBE) results for crystalline LiMg5TlCd2 at its relaxed geometry.

a b c (Å): 7.849 7.849 9.100
angles (deg): 115.55 115.55 90.00
Sites, in units of the cell vectors:
Li (0.250, 0.250, 0.500)
Li (0.750, 0.750, 0.500)
Mg (0.428, 0.340, 0.267)
Mg (0.500, 0.500, 0.000)
Mg (0.160, 0.072, 0.733)
Mg (0.572, 0.660, 0.733)
Mg (0.340, 0.840, 0.267)
Mg (0.072, 0.572, 0.733)
Mg (0.928, 0.428, 0.267)
Mg (0.840, 0.928, 0.267)
Mg (0.000, 0.000, 0.000)
Mg (0.660, 0.160, 0.733)
Cd (0.379, 0.879, 0.000)
Cd (0.879, 0.621, 0.000)
Cd (0.621, 0.121, 0.000)
Cd (0.121, 0.379, 0.000)
Tl (0.250, 0.750, 0.500)
Tl (0.750, 0.250, 0.500)

Results
Uncorrected energy: -1.502 eV/atom
Energy relative to the elements: 0.063 eV per atom
Calculated volume: 444.3 Å³/cell


Record 4
DFT (GGA-PBE) results for crystalline Li5Mg2TlCd2 at its relaxed geometry.

a b c (Å): 4.312 9.830 9.830
angles (deg): 90.00 90.00 90.00
Sites, in units of the cell vectors:
Li (0.500, 0.802, 0.924)
Li (0.500, 0.924, 0.198)
Li (0.500, 0.576, 0.698)
Li (0.500, 0.302, 0.576)
Li (0.500, 0.500, 0.000)
Li (0.500, 0.698, 0.424)
Li (0.500, 0.076, 0.802)
Li (0.500, 0.198, 0.076)
Li (0.500, 0.000, 0.500)
Li (0.500, 0.424, 0.302)
Cd (0.000, 0.380, 0.120)
Cd (0.000, 0.120, 0.620)
Cd (0.000, 0.620, 0.880)
Cd (0.000, 0.880, 0.380)
Mg (0.000, 0.324, 0.824)
Mg (0.000, 0.824, 0.676)
Mg (0.000, 0.176, 0.324)
Mg (0.000, 0.676, 0.176)
Tl (0.000, 0.500, 0.500)
Tl (0.000, 0.000, 0.000)

Results
Uncorrected energy: -1.815 eV/atom
Energy relative to the elements: -0.119 eV per atom
Calculated volume: 416.7 Å³/cell


Record 5
DFT (GGA-PBE) results for crystalline Li2Mg2TlCd2 at its relaxed geometry.

a b c (Å): 4.831 4.831 7.648
angles (deg): 71.59 71.59 60.00
Sites, in units of the cell vectors:
Cd (0.147, 0.147, 0.558)
Cd (0.853, 0.853, 0.442)
Li (0.287, 0.287, 0.140)
Li (0.713, 0.713, 0.860)
Tl (0.000, 0.000, 0.000)
Mg (0.426, 0.426, 0.723)
Mg (0.574, 0.574, 0.277)

Results
Uncorrected energy: -1.736 eV/atom
Energy relative to the elements: -0.134 eV per atom
Calculated volume: 144.0 Å³/cell


Record 6
DFT (GGA-PBE) results for crystalline Li2Tm2MgCd5 at its relaxed geometry.

a b c (Å): 3.843 10.533 10.533
angles (deg): 90.00 90.00 90.00
Sites, in units of the cell vectors:
Mg (0.000, 0.500, 0.500)
Mg (0.000, 0.000, 0.000)
Tm (0.000, 0.321, 0.821)
Tm (0.000, 0.679, 0.179)
Tm (0.000, 0.821, 0.679)
Tm (0.000, 0.179, 0.321)
Cd (0.500, 0.562, 0.707)
Cd (0.500, 0.062, 0.793)
Cd (0.500, 0.793, 0.938)
Cd (0.500, 0.000, 0.500)
Cd (0.500, 0.438, 0.293)
Cd (0.500, 0.500, 0.000)
Cd (0.500, 0.293, 0.562)
Cd (0.500, 0.707, 0.438)
Cd (0.500, 0.938, 0.207)
Cd (0.500, 0.207, 0.062)
Li (0.000, 0.881, 0.381)
Li (0.000, 0.619, 0.881)
Li (0.000, 0.119, 0.619)
Li (0.000, 0.381, 0.119)

Results
Uncorrected energy: -2.103 eV/atom
Energy relative to the elements: -0.209 eV per atom
Calculated volume: 426.4 Å³/cell


Record 7
DFT (GGA-PBE) results for crystalline LiTmMgCd at its relaxed geometry.

a b c (Å): 4.987 4.987 4.987
angles (deg): 60.00 60.00 60.00
Sites, in units of the cell vectors:
Tm (0.500, 0.500, 0.500)
Li (0.750, 0.750, 0.750)
Cd (0.250, 0.250, 0.250)
Mg (0.000, 0.000, 0.000)

Results
Uncorrected energy: -2.402 eV/atom
Energy relative to the elements: -0.178 eV per atom
Calculated volume: 87.7 Å³/cell


Record 8
DFT (GGA-PBE) results for crystalline Li2TmMgCd4 at its relaxed geometry.

a b c (Å): 4.864 4.864 8.847
angles (deg): 74.05 74.05 60.00
Sites, in units of the cell vectors:
Cd (0.875, 0.875, 0.374)
Cd (0.125, 0.125, 0.626)
Cd (0.617, 0.617, 0.148)
Cd (0.383, 0.383, 0.852)
Li (0.753, 0.753, 0.741)
Li (0.247, 0.247, 0.259)
Mg (0.500, 0.500, 0.500)
Tm (0.000, 0.000, 0.000)

Results
Uncorrected energy: -1.888 eV/atom
Energy relative to the elements: -0.193 eV per atom
Calculated volume: 171.9 Å³/cell